Here is K2PuAgCl6 after structural relaxation from Alexandria via LeMat-Bulk. Energies are from PBE.

```
data_K2PuAgCl6
_space_group_name_H-M_alt 'P 1 21/c 1'
_space_group_IT_number 14
_space_group_name_Hall '-P 2ybc'
_cell_length_a 7.312
_cell_length_b 7.750
_cell_length_c 12.672
_cell_angle_alpha 90.00
_cell_angle_beta 124.37
_cell_angle_gamma 90.00
loop_
_atom_site_label
_atom_site_type_symbol
_atom_site_fract_x
_atom_site_fract_y
_atom_site_fract_z
K1 K 0.226 0.071 0.250
Pu1 Pu 0.500 0.000 0.000
Ag1 Ag 0.000 0.000 0.500
Cl1 Cl 0.147 0.195 0.946
Cl2 Cl 0.260 0.705 0.950
Cl3 Cl 0.354 0.034 0.750
```

Summary:
Energy relative to the elements, uncorrected ... -1.655 eV per atom